Density functional theory data (PBE with a Hubbard U) for a geometry-optimized Ba3CaMn2O6 structure.

```
Ba3CaMn2O6
1.0
-1.141 -6.116 -0.681
3.632 2.003 4.688
-5.551 0.585 4.052
Ba O Ca Mn
3 6 1 2
Cartesian
0.000 0.000 0.000
-1.451 -0.336 5.447
-1.609 -3.193 2.611
1.189 0.796 4.967
-2.468 -3.343 5.390
-0.592 -0.187 2.668
-3.690 -1.324 3.425
-4.250 -4.325 3.091
0.630 -2.205 4.633
-2.776 0.292 2.026
1.060 -0.600 3.614
-4.120 -2.929 4.444
```

## Properties
**Spin magnetization**: 10.0 Bohr magnetons per cell
**Energy**: -6.4458 eV per atom
**SG**: P-3m1
**N(E_F)**: 1.4 states/eV/f.u.